(1)
BeInSb2: optimized geometry, PBE.

Structure (extended XYZ):
```
4
Lattice="3.479 0.000 0.000 0.000 4.129 0.000 0.000 0.000 7.131" Properties=species:S:1:pos:R:3 pbc="T T T"
Sb 1.739 2.065 2.453
Sb 0.000 0.000 6.470
In 1.739 2.065 5.270
Be 0.000 0.000 3.636
```

Values from the calculation:
Volume (Å³/atom): 25.61
ΔE_f (raw) (kcal/mol of atoms): 9.2

---

(2)
Y3OsF: optimized geometry, PBE.

Structure (extended XYZ):
```
5
Lattice="-4.429 0.325 1.545 1.471 -0.820 4.390 0.572 4.619 0.670" Properties=species:S:1:pos:R:3 pbc="T T T"
F 0.000 0.000 0.000
Y -2.215 0.162 0.773
Y 0.736 -0.410 2.195
Os -1.193 2.062 3.303
Y 0.286 2.309 0.335
```

Values from the calculation:
Volume (Å³/atom): 20.80
ΔE_f (raw) (kcal/mol of atoms): -16.1

---

(3)
LaHIN2: optimized geometry, PBE.

Structure (extended XYZ):
```
5
Lattice="4.203 0.000 0.000 0.000 4.203 0.000 0.000 0.000 7.155" Properties=species:S:1:pos:R:3 pbc="T T T"
I 0.000 0.000 3.578
N 2.102 0.000 0.000
H 2.102 2.102 3.578
La 0.000 0.000 0.000
N 0.000 2.102 0.000
```

Values from the calculation:
Volume (Å³/atom): 25.28
Final energy (eV per atom): -4.1848

---

(4)
CsI2Br2: optimized geometry, PBE.

Structure (extended XYZ):
```
5
Lattice="4.695 0.000 0.000 0.000 4.695 0.000 2.347 2.347 10.637" Properties=species:S:1:pos:R:3 pbc="T T T"
I 2.347 4.695 5.318
Cs 0.000 0.000 0.000
Br 4.695 4.695 9.178
I 4.695 2.347 5.318
Br 2.347 2.347 1.459
```

Values from the calculation:
Volume (Å³/atom): 46.89
ΔE_f (raw) (kcal/mol of atoms): -12.6

---

(5)
Ca2CeO4: optimized geometry, PBE.

Structure (extended XYZ):
```
14
Lattice="-1.841 -1.752 2.457 1.744 -5.081 -2.315 8.026 0.012 6.021" Properties=species:S:1:pos:R:3 pbc="T T T"
O 1.890 -0.779 0.861
Ca 1.274 -3.109 1.281
O 7.215 -2.089 6.459
O 7.880 -4.290 2.845
Ce 0.000 0.000 0.000
O 4.697 -4.634 2.758
Ca 6.655 -3.711 4.883
Ca 3.305 -5.648 0.992
O 3.531 -3.318 0.280
O 3.233 -2.187 3.406
O 0.715 -4.732 -0.295
Ce 4.885 -2.535 1.853
O 6.239 -1.751 3.426
Ca 4.625 -1.173 5.171
```

Values from the calculation:
Volume (Å³/atom): 14.82
ΔE_f (raw) (kcal/mol of atoms): -72.7

---

(6)
Sr2BeP: optimized geometry, PBE.

Structure (extended XYZ):
```
4
Lattice="6.674 0.001 0.003 -5.229 4.148 -0.002 -0.002 0.000 3.889" Properties=species:S:1:pos:R:3 pbc="T T T"
Sr -2.137 3.071 1.459
Sr 6.519 0.055 3.405
P 2.761 1.364 3.404
Be 1.695 1.736 1.459
```

Values from the calculation:
Volume (Å³/atom): 26.92
Formation energy from the elements (eV/atom): -0.44